# 1
{
  "formula": "La2GdAl",
  "functional": "PBE",
  "state": "optimized geometry",
  "cell": [[-3.366, 2.555, -3.597], [0.853, -0.533, -5.458], [-3.532, -2.968, -3.084]],
  "species": ["Al", "Gd", "La", "La"],
  "fractional_positions": [[0.500, 0.500, 0.500], [0.000, 0.000, 0.000], [0.750, 0.750, 0.750], [0.250, 0.250, 0.250]],
  "de_polymorph_kcal_per_mol_atoms": 2.13,
  "total_magnetization_mub_per_fu": 7.7,
  "vol_a3_per_cell": 120.9,
  "total_energy_ev_per_atom": -7.0067,
  "delta_e_f_ev_per_atom": -0.087,
  "space_group": "Fm-3m, No. 225",
  "dos_at_fermi_per_ev_atom": 1.500
}



# 2
{
  "formula": "LaGdAl4",
  "functional": "PBE",
  "state": "optimized geometry",
  "cell": [[5.680, 0.000, 0.000], [2.840, 4.919, 0.000], [2.840, 1.640, 4.638]],
  "species": ["Al", "Al", "Al", "Al", "La", "Gd"],
  "fractional_positions": [[0.625, 0.625, 0.625], [0.625, 0.125, 0.625], [0.125, 0.625, 0.625], [0.625, 0.625, 0.125], [0.000, 0.000, 0.000], [0.250, 0.250, 0.250]],
  "total_magnetization_mub_per_fu": 7.5,
  "vol_a3_per_cell": 129.6,
  "total_energy_ev_per_atom": -6.1663,
  "delta_e_f_ev_per_atom": -0.503,
  "space_group": "F-43m, No. 216",
  "dos_at_fermi_per_ev_atom": 0.662
}